DFT (PBE) results for a geometry-optimized PrMg2Sn structure.

## Properties
Crystal system: trigonal
Energy relative to the lowest polymorph listed for this composition: 539 meV per atom
D(E_F): 9.99 states/eV/cell
DFT formation energy: 10.3 kJ per mole of atoms
Spin magnetization: 0.000 μB per atom

Cell: 3.3634 3.3634 34.2638 Å, 90.00 90.00 120.00°
Last column: nearest neighbours and their distance in Å.
Space group R-3m (No. 166, hexagonal axes)
Asymmetric unit:
1 Pr 0.0000 0.0000 0.0000 (multiplicity 3)  2 Mg 3.26, 6 Pr 3.36
2 Mg 0.0000 0.0000 0.0953 (multiplicity 6)  3 Sn 3.12, 1 Pr 3.26, 6 Mg 3.36
3 Sn 0.0000 0.0000 0.5000 (multiplicity 3)  6 Mg 3.12, 6 Sn 3.36